[1]
# PmDy3Ho2Er6

A relaxed PmDy3Ho2Er6 crystal (PBE, Alexandria).

a = 6.1143 Å, b = 10.5794 Å, c = 11.6852 Å
α = 90.00°, β = 100.00°, γ = 90.00°
With the nearest neighbours (Å) after each atom.
Space group C2/m (No. 12)
Inequivalent atoms, fractional coordinates:
Pm  0.0000  0.0000  0.0000 [2 per cell]  6 Ho 3.53, 6 Er 3.53-3.54
Dy  0.0000  0.1669  0.5000 [4 per cell]  6 Er 3.51-3.52, 6 Dy 3.52-3.53
Dy  0.0000  0.5000  0.5000 [2 per cell]  6 Er 3.52, 6 Dy 3.52-3.53
Ho  0.0000  0.3333  0.0000 [4 per cell]  3 Pm 3.53, 3 Ho 3.53, 6 Er 3.53
Er  0.2489  0.3331  0.7492 [8 per cell]  3 Dy 3.51-3.52, 6 Er 3.52-3.53, 2 Ho 3.53, 1 Pm 3.54
Er  0.2498  0.0000  0.7494 [4 per cell]  3 Dy 3.52, 6 Er 3.52-3.53, 1 Pm 3.53, 2 Ho 3.53

* size of the total moment: 0.0 Bohr magnetons per cell
* formation energy: 0.02 eV/atom
* raw total energy: -109.7 eV for the cell shown

=====

[2]
# Nd3SbBr3

A relaxed Nd3SbBr3 crystal (PBE, Alexandria).

a = 7.4234 Å, b = 7.4234 Å, c = 32.6441 Å
α = 90.00°, β = 90.00°, γ = 120.00°
With the nearest neighbours (Å) after each atom.
Space group R-3 (No. 148, hexagonal axes)
Inequivalent atoms, fractional coordinates:
Nd  0.0000  0.3298  0.0541 [18 per cell]  2 Sb 3.05, 3 Br 3.06
Sb  0.0000  0.0000  0.3333 [6 per cell]  6 Nd 3.05
Br  0.0000  0.3364  0.8909 [18 per cell]  3 Nd 3.06

* formation energy (no corrections): -1.39 eV/atom
* size of the total moment: 0.0 Bohr magnetons per cell
* raw total energy: -199.0 eV for the cell shown

=====

[3]
# Tl2BiPd

A relaxed Tl2BiPd crystal (PBE, Alexandria).

a = 3.3539 Å, b = 3.3539 Å, c = 34.2067 Å
α = 90.00°, β = 90.00°, γ = 120.00°
With the nearest neighbours (Å) after each atom.
Space group R-3m (No. 166, hexagonal axes)
Inequivalent atoms, fractional coordinates:
Tl  0.0000  0.0000  0.0788 [6 per cell]  1 Pd 2.69
Bi  0.0000  0.0000  0.5000 [3 per cell]  6 Bi 3.35, 6 Tl 3.58
Pd  0.0000  0.0000  0.0000 [3 per cell]  2 Tl 2.69

* size of the total moment: 0.0 Bohr magnetons per cell
* formation energy: 0.21 eV/atom
* raw total energy: -38.9 eV for the cell shown
* energy above the most stable polymorph in this dataset: 206 meV per atom